The following is a PBE calculation of an optimized crystal structure of ZrRuSe4, from the Alexandria database.

Lattice parameters (Å, degrees): 7.780 7.780 7.780 90.00 90.00 90.00
Space group F-43m (No. 216)
Asymmetric unit:
Zr (0.000, 0.000, 0.000) x4
Ru (0.250, 0.250, 0.750) x4
Se (0.125, 0.125, 0.375) x16

Output
**Energy relative to the elements, uncorrected**: 439 kJ/mol of formula units
**DFT total energy**: -4.53 eV per atom

---

The following is a PBE calculation of an optimized crystal structure of ZrRu2Se, from the Alexandria database.

Lattice parameters (Å, degrees): 3.1529 3.1529 24.0179 90.00 90.00 120.00
Space group R-3m (No. 166, hexagonal axes)
Asymmetric unit:
Zr (0.0000, 0.0000, 0.0000) x3
Ru (0.0000, 0.0000, 0.2468) x6
Se (0.0000, 0.0000, 0.5000) x3

Output
**Energy relative to the elements, uncorrected**: 26 kJ/mol of formula units
**DFT total energy**: -7.58 eV per atom

---

The following is a PBE calculation of an optimized crystal structure of ZrRu2Se, from the Alexandria database.

Lattice parameters (Å, degrees): 6.424 6.424 6.424 90.00 90.00 90.00
Space group F-43m (No. 216)
Asymmetric unit:
Zr (0.000, 0.000, 0.000) x4
Ru (0.000, 0.000, 0.500) x4
Ru (0.250, 0.250, 0.250) x4
Se (0.250, 0.250, 0.750) x4

Output
**Energy relative to the elements, uncorrected**: 39 kJ/mol of formula units
**DFT total energy**: -7.54 eV per atom

---

The following is a PBE calculation of an optimized crystal structure of ZrRu2Se, from the Alexandria database.

Lattice parameters (Å, degrees): 3.966 3.055 10.928 90.00 90.00 90.00
Space group Amm2 (No. 38)
Asymmetric unit:
Zr (0.000, 0.000, 0.000) x2
Ru (0.000, 0.000, 0.246) x2
Ru (0.500, 0.000, 0.648) x2
Se (0.500, 0.000, 0.390) x2

Output
**Energy relative to the elements, uncorrected**: -75 kJ/mol of formula units
**DFT total energy**: -7.84 eV per atom

---

The following is a PBE calculation of an optimized crystal structure of ZrRuSe3, from the Alexandria database.

Lattice parameters (Å, degrees): 4.806 4.806 4.806 90.00 90.00 90.00
Space group Pm-3m (No. 221)
Asymmetric unit:
Zr (0.000, 0.000, 0.000) x1
Ru (0.500, 0.500, 0.500) x1
Se (0.000, 0.500, 0.500) x3

Output
**Energy relative to the elements, uncorrected**: 89 kJ/mol of formula units
**DFT total energy**: -5.47 eV per atom
**Relative energy among the computed polymorphs**: 0 meV per atom

---

The following is a PBE calculation of an optimized crystal structure of ZrRu2Se, from the Alexandria database.

Lattice parameters (Å, degrees): 4.343 4.343 3.456 90.00 90.00 90.00
Space group P4/mmm (No. 123)
Asymmetric unit:
Zr (0.000, 0.000, 0.000) x1
Ru (0.000, 0.500, 0.500) x2
Se (0.500, 0.500, 0.000) x1

Output
**Energy relative to the elements, uncorrected**: -79 kJ/mol of formula units
**DFT total energy**: -7.85 eV per atom

---

The following is a PBE calculation of an optimized crystal structure of ZrRu2Se, from the Alexandria database.

Lattice parameters (Å, degrees): 9.783 3.147 4.572 90.00 109.44 90.00
Space group Cm (No. 8)
Asymmetric unit:
Zr (0.000, 0.000, 0.000) x2
Ru (0.233, 0.000, 0.644) x2
Ru (0.495, 0.000, 0.518) x2
Se (0.263, 0.500, 0.241) x2

Output
**Energy relative to the elements, uncorrected**: -73 kJ/mol of formula units
**DFT total energy**: -7.83 eV per atom

---

The following is a PBE calculation of an optimized crystal structure of ZrRu2Se, from the Alexandria database.

Lattice parameters (Å, degrees): 3.125 4.437 4.700 90.00 90.00 90.00
Space group Pmmm (No. 47)
Asymmetric unit:
Zr (0.000, 0.000, 0.000) x1
Ru (0.000, 0.500, 0.500) x1
Ru (0.500, 0.500, 0.000) x1
Se (0.500, 0.000, 0.500) x1

Output
**Energy relative to the elements, uncorrected**: -52 kJ/mol of formula units
**DFT total energy**: -7.78 eV per atom

---

The following is a PBE calculation of an optimized crystal structure of ZrRu2Se, from the Alexandria database.

Lattice parameters (Å, degrees): 5.834 5.834 10.774 90.00 90.00 90.00
Space group I-42d (No. 122)
Asymmetric unit:
Zr (0.000, 0.000, 0.000) x4
Ru (0.213, 0.250, 0.625) x8
Se (0.000, 0.000, 0.500) x4

Output
**Energy relative to the elements, uncorrected**: 154 kJ/mol of formula units
**DFT total energy**: -7.25 eV per atom

---

The following is a PBE calculation of an optimized crystal structure of Si7Ru, from the Alexandria database.

Lattice parameters (Å, degrees): 7.605 7.605 7.605 90.00 90.00 90.00
Space group Fm-3m (No. 225)
Asymmetric unit:
Si (0.000, 0.000, 0.000) x4
Si (0.000, 0.250, 0.250) x24
Ru (0.000, 0.000, 0.500) x4

Output
**Energy relative to the elements, uncorrected**: 250 kJ/mol of formula units
**DFT total energy**: -5.58 eV per atom

---

The following is a PBE calculation of an optimized crystal structure of Si3Ru5, from the Alexandria database.

Lattice parameters (Å, degrees): 6.8858 6.8858 5.2507 90.00 90.00 120.00
Space group P6_3/mcm (No. 193)
Asymmetric unit:
Si (0.0000, 0.3975, 0.2500) x6
Ru (0.0000, 0.2487, 0.7500) x6
Ru (0.3333, 0.6667, 0.0000) x4

Output
**Energy relative to the elements, uncorrected**: -327 kJ/mol of formula units
**DFT total energy**: -8.25 eV per atom
**Relative energy among the computed polymorphs**: 32 meV per atom

---

The following is a PBE calculation of an optimized crystal structure of Si7Ru6, from the Alexandria database.

Lattice parameters (Å, degrees): 4.8546 4.8546 25.5424 90.00 90.00 120.00
Space group R-3m (No. 166, hexagonal axes)
Asymmetric unit:
Si (0.0000, 0.0000, 0.0000) x3
Si (0.9999, 0.4999, 0.4176) x18
Ru (0.0000, 0.0000, 0.1699) x6
Ru (0.0000, 0.0000, 0.3273) x6
Ru (0.0000, 0.0000, 0.4442) x6

Output
**Energy relative to the elements, uncorrected**: -139 kJ/mol of formula units
**DFT total energy**: -7.31 eV per atom